# 1
TlSb2Pt | PBE | optimized geometry

Calculated values
Raw formation energy in meV/atom: 215
Excess energy over the best structure of this formula in the dataset in eV/atom: 0.4975
Total magnetic moment in μB/atom: 0.000

Lattice parameters (Å, degrees): 7.497 5.096 3.794 91.64 56.97 122.19
Sites, in units of the cell vectors:
Tl 0.000 0.500 0.500
Sb 0.000 0.000 0.000
Pt 0.500 0.500 0.000
Sb 0.500 0.000 0.500

# 2
Mg3ScFe | PBE | optimized geometry

Calculated values
Excess energy over the best structure of this formula in the dataset in eV/atom: 1.0207
DFT formation energy in eV per atom: 1.494
Total magnetic moment in μB/atom: 0.566

Lattice parameters (Å, degrees): 5.450 5.450 5.450 90.00 90.00 90.00
Each line ends with the local moment (μB).
Sites, in units of the cell vectors:
Fe 0.500 0.500 0.500  3.31
Mg 0.500 0.000 0.000  -0.01
Mg 0.000 0.500 0.000  -0.01
Mg 0.000 0.000 0.500  -0.01
Sc 0.000 0.000 0.000  -0.21